1.
Computed, not measured: crystalline Ta4SnPC2 at its relaxed geometry at the PBE level of DFT.

a = 3.277 Å, b = 3.277 Å, c = 12.703 Å
α = 90.00°, β = 90.00°, γ = 120.00°
Fractional positions:
Ta: 0.000 0.000 0.137
Ta: 0.000 0.000 0.863
Ta: 0.667 0.333 0.317
Ta: 0.667 0.333 0.683
Sn: 0.000 0.000 0.500
P: 0.667 0.333 0.000
C: 0.333 0.667 0.231
C: 0.333 0.667 0.769

Total moment ... 0.001 μB/atom
Uncorrected energy ... -79.7 eV per cell
Space group ... P-6m2



2.
Computed, not measured: crystalline Pm2Si2Os at its relaxed geometry at the PBE level of DFT.

a = 5.942 Å, b = 5.942 Å, c = 10.326 Å
α = 117.93°, β = 117.93°, γ = 42.13°
Fractional positions:
Pm: 0.011 0.011 0.179
Pm: 0.186 0.186 0.609
Pm: 0.814 0.814 0.391
Pm: 0.989 0.989 0.821
Si: 0.346 0.346 0.937
Si: 0.496 0.496 0.373
Si: 0.504 0.504 0.627
Si: 0.654 0.654 0.063
Os: 0.274 0.274 0.124
Os: 0.726 0.726 0.876

Total moment ... 0.012 μB/atom
Uncorrected energy ... -70.3 eV per cell
Space group ... C2/m



3.
Computed, not measured: crystalline LiAlGePt at its relaxed geometry at the PBE level of DFT.

a = 6.199 Å, b = 6.199 Å, c = 6.199 Å
α = 90.00°, β = 90.00°, γ = 90.00°
Fractional positions:
Li: 0.000 0.000 0.000
Li: 0.000 0.500 0.500
Li: 0.500 0.000 0.500
Li: 0.500 0.500 0.000
Al: 0.000 0.000 0.500
Al: 0.000 0.500 0.000
Al: 0.500 0.000 0.000
Al: 0.500 0.500 0.500
Ge: 0.250 0.250 0.750
Ge: 0.250 0.750 0.250
Ge: 0.750 0.250 0.250
Ge: 0.750 0.750 0.750
Pt: 0.250 0.250 0.250
Pt: 0.250 0.750 0.750
Pt: 0.750 0.250 0.750
Pt: 0.750 0.750 0.250

Total moment ... 0.000 μB/atom
Energy above the lowest structure with this stoichiometry ... 104 meV per atom
Space group ... F-43m



4.
Computed, not measured: crystalline PmAsN2O at its relaxed geometry at the PBE level of DFT.

a = 6.512 Å, b = 6.512 Å, c = 11.369 Å
α = 90.00°, β = 90.00°, γ = 120.00°
Fractional positions:
Pm: 0.000 0.000 0.000
Pm: 0.000 0.000 0.500
Pm: 0.333 0.667 0.470
Pm: 0.333 0.667 0.970
Pm: 0.667 0.333 0.470
Pm: 0.667 0.333 0.970
As: 0.000 0.334 0.232
As: 0.000 0.666 0.732
As: 0.334 0.000 0.232
As: 0.334 0.334 0.732
As: 0.666 0.000 0.732
As: 0.666 0.666 0.232
N: 0.000 0.315 0.385
N: 0.000 0.351 0.080
N: 0.000 0.649 0.580
N: 0.000 0.685 0.885
N: 0.315 0.000 0.385
N: 0.315 0.315 0.885
N: 0.351 0.000 0.080
N: 0.351 0.351 0.580
N: 0.649 0.000 0.580
N: 0.649 0.649 0.080
N: 0.685 0.000 0.885
N: 0.685 0.685 0.385
O: 0.000 0.000 0.215
O: 0.000 0.000 0.715
O: 0.333 0.667 0.246
O: 0.333 0.667 0.746
O: 0.667 0.333 0.246
O: 0.667 0.333 0.746

Total moment ... 0.000 μB/atom
Uncorrected energy ... -207.0 eV per cell
Space group ... P6_3cm



5.
Computed, not measured: crystalline MgCo3 at its relaxed geometry at the PBE level of DFT.

a = 5.768 Å, b = 5.768 Å, c = 5.768 Å
α = 90.00°, β = 90.00°, γ = 90.00°
Fractional positions:
Mg: 0.000 0.000 0.000
Mg: 0.000 0.500 0.500
Mg: 0.500 0.000 0.500
Mg: 0.500 0.500 0.000
Co: 0.000 0.000 0.500
Co: 0.000 0.500 0.000
Co: 0.250 0.250 0.250
Co: 0.250 0.250 0.750
Co: 0.250 0.750 0.250
Co: 0.250 0.750 0.750
Co: 0.500 0.000 0.000
Co: 0.500 0.500 0.500
Co: 0.750 0.250 0.250
Co: 0.750 0.250 0.750
Co: 0.750 0.750 0.250
Co: 0.750 0.750 0.750

Total moment ... 0.175 μB/atom
Uncorrected energy ... -85.9 eV per cell
Space group ... Fm-3m



6.
Computed, not measured: crystalline Y2W at its relaxed geometry at the PBE level of DFT.

a = 5.883 Å, b = 5.883 Å, c = 5.883 Å
α = 60.00°, β = 60.00°, γ = 60.00°
Fractional positions:
Y: 0.000 0.000 0.000
Y: 0.000 0.000 0.500
Y: 0.000 0.500 0.000
Y: 0.500 0.000 0.000
W: 0.375 0.375 0.375
W: 0.625 0.625 0.625

Total moment ... 0.062 μB/atom
Formation enthalpy at 0 K ... 1.36 eV/atom
Energy above the lowest structure with this stoichiometry ... 0 meV per atom
Space group ... Fd-3m